A relaxed CaSiTcO6 crystal. Source: Alexandria, functional PBE.

Values from the calculation:
- density (g/cm3) = 4.01
- E_form (uncorrected) (eV per atom) = -2.16
- total energy (eV per atom) = -7.443
- volume (Å³ per cell) = 217

Lattice parameters (Å, degrees): 4.979 4.979 10.121 90.00 90.00 120.00
Fractional positions:
Ca 0.000 0.000 0.000
Ca 0.000 0.000 0.500
Si 0.333 0.667 0.250
Si 0.667 0.333 0.750
Tc 0.333 0.667 0.750
Tc 0.667 0.333 0.250
O 0.020 0.389 0.149
O 0.020 0.631 0.351
O 0.369 0.389 0.351
O 0.369 0.980 0.149
O 0.389 0.020 0.649
O 0.389 0.369 0.851
O 0.611 0.631 0.149
O 0.611 0.980 0.351
O 0.631 0.020 0.851
O 0.631 0.611 0.649
O 0.980 0.369 0.649
O 0.980 0.611 0.851

***

A relaxed CaSiTeO6 crystal. Source: Alexandria, functional PBE.

Values from the calculation:
- density (g/cm3) = 4.40
- E_form (uncorrected) (eV per atom) = -2.12
- total energy (eV per atom) = -6.596
- volume (Å³ per cell) = 220

Lattice parameters (Å, degrees): 4.980 4.980 10.245 90.00 90.00 120.00
Fractional positions:
Ca 0.000 0.000 0.000
Ca 0.000 0.000 0.500
Si 0.333 0.667 0.250
Si 0.667 0.333 0.750
Te 0.333 0.667 0.750
Te 0.667 0.333 0.250
O 0.020 0.386 0.148
O 0.020 0.634 0.352
O 0.366 0.386 0.352
O 0.366 0.980 0.148
O 0.386 0.020 0.648
O 0.386 0.366 0.852
O 0.614 0.634 0.148
O 0.614 0.980 0.352
O 0.634 0.020 0.852
O 0.634 0.614 0.648
O 0.980 0.366 0.648
O 0.980 0.614 0.852

***

A relaxed CaTiSi2O crystal. Source: Alexandria, functional PBE.

Values from the calculation:
- density (g/cm3) = 1.98
- E_form (uncorrected) (eV per atom) = 0.70
- total energy (eV per atom) = -4.444
- volume (Å³ per cell) = 134

Lattice parameters (Å, degrees): 4.565 4.565 6.428 90.00 90.00 90.00
Fractional positions:
Ca 0.000 0.000 0.000
Ti 0.000 0.000 0.500
Si 0.000 0.500 0.500
Si 0.500 0.000 0.500
O 0.500 0.500 0.000

***

A relaxed Ca3Ti2Si4O14 crystal. Source: Alexandria, functional PBE.

Values from the calculation:
- density (g/cm3) = 3.25
- E_form (uncorrected) (eV per atom) = -2.92
- total energy (eV per atom) = -7.825
- volume (Å³ per cell) = 564

Lattice parameters (Å, degrees): 9.459 9.459 10.088 120.22 120.22 48.56
Fractional positions:
Ca 0.148 0.852 0.750
Ca 0.262 0.337 0.534
Ca 0.337 0.262 0.034
Ca 0.663 0.738 0.966
Ca 0.738 0.663 0.466
Ca 0.852 0.148 0.250
Ti 0.306 0.694 0.250
Ti 0.500 0.500 0.000
Ti 0.500 0.500 0.500
Ti 0.694 0.306 0.750
Si 0.030 0.715 0.353
Si 0.033 0.615 0.848
Si 0.285 0.970 0.147
Si 0.385 0.967 0.652
Si 0.615 0.033 0.348
Si 0.715 0.030 0.853
Si 0.967 0.385 0.152
Si 0.970 0.285 0.647
O 0.000 0.446 0.819
O 0.000 0.554 0.181
O 0.029 0.608 0.683
O 0.042 0.849 0.311
O 0.151 0.958 0.189
O 0.160 0.174 0.090
O 0.174 0.160 0.590
O 0.207 0.620 0.501
O 0.230 0.570 0.995
O 0.380 0.793 0.999
O 0.392 0.971 0.817
O 0.399 0.452 0.270
O 0.430 0.770 0.505
O 0.446 0.000 0.319
O 0.452 0.399 0.770
O 0.548 0.601 0.230
O 0.554 0.000 0.681
O 0.570 0.230 0.495
O 0.601 0.548 0.730
O 0.608 0.029 0.183
O 0.620 0.207 0.001
O 0.770 0.430 0.005
O 0.793 0.380 0.499
O 0.826 0.840 0.410
O 0.840 0.826 0.910
O 0.849 0.042 0.811
O 0.958 0.151 0.689
O 0.971 0.392 0.317

***

A relaxed CaTiSi2O6 crystal. Source: Alexandria, functional PBE.

Values from the calculation:
- density (g/cm3) = 3.39
- E_form (uncorrected) (eV per atom) = -2.74
- total energy (eV per atom) = -7.789
- volume (Å³ per cell) = 235

Lattice parameters (Å, degrees): 6.828 6.828 5.260 101.03 101.03 82.98
Fractional positions:
Ca 0.200 0.800 0.750
Ca 0.800 0.200 0.250
Ti 0.421 0.579 0.250
Ti 0.579 0.421 0.750
Si 0.112 0.304 0.768
Si 0.304 0.112 0.268
Si 0.696 0.888 0.732
Si 0.888 0.696 0.232
O 0.117 0.620 0.326
O 0.129 0.170 0.009
O 0.170 0.129 0.509
O 0.275 0.469 0.850
O 0.380 0.883 0.174
O 0.469 0.275 0.350
O 0.531 0.725 0.650
O 0.620 0.117 0.826
O 0.725 0.531 0.150
O 0.830 0.871 0.491
O 0.871 0.830 0.991
O 0.883 0.380 0.674

***

A relaxed Ca2ZrTiSi2O10 crystal. Source: Alexandria, functional PBE.

Values from the calculation:
- density (g/cm3) = 3.60
- E_form (uncorrected) (eV per atom) = -3.08
- total energy (eV per atom) = -8.138
- volume (Å³ per cell) = 201

Lattice parameters (Å, degrees): 5.473 5.636 7.359 104.23 102.93 106.22
Fractional positions:
Ca 0.164 0.331 0.298
Ca 0.836 0.669 0.702
Zr 0.500 0.000 0.000
Ti 0.500 0.000 0.500
Si 0.177 0.314 0.743
Si 0.823 0.686 0.257
O 0.112 0.760 0.431
O 0.178 0.112 0.869
O 0.227 0.609 0.886
O 0.404 0.318 0.625
O 0.411 0.068 0.262
O 0.589 0.932 0.738
O 0.596 0.682 0.375
O 0.773 0.391 0.114
O 0.822 0.888 0.131
O 0.888 0.240 0.569

***

A relaxed CaTlSiO4 crystal. Source: Alexandria, functional PBE.

Values from the calculation:
- density (g/cm3) = 5.91
- E_form (uncorrected) (eV per atom) = -2.08
- total energy (eV per atom) = -6.317
- volume (Å³ per cell) = 189

Lattice parameters (Å, degrees): 6.450 6.450 6.450 122.53 117.52 90.01
Fractional positions:
Ca 0.000 0.000 0.000
Ca 0.500 0.000 0.500
Tl 0.500 0.000 0.000
Tl 0.500 0.500 0.500
Si 0.124 0.374 0.750
Si 0.876 0.626 0.250
O 0.187 0.736 0.451
O 0.215 0.264 0.951
O 0.227 0.253 0.526
O 0.227 0.701 0.974
O 0.773 0.299 0.026
O 0.773 0.747 0.474
O 0.785 0.736 0.049
O 0.813 0.264 0.549

***

A relaxed CaTl6Si2O7 crystal. Source: Alexandria, functional PBE.

Values from the calculation:
- density (g/cm3) = 5.67
- E_form (uncorrected) (eV per atom) = -1.50
- total energy (eV per atom) = -5.364
- volume (Å³ per cell) = 420

Lattice parameters (Å, degrees): 4.730 9.724 10.043 65.59 87.14 88.23
Fractional positions:
Ca 0.000 0.000 0.000
Tl 0.067 0.284 0.265
Tl 0.087 0.367 0.851
Tl 0.101 0.873 0.354
Tl 0.471 0.036 0.640
Tl 0.488 0.607 0.020
Tl 0.539 0.660 0.642
Si 0.541 0.151 0.120
Si 0.969 0.787 0.761
O 0.037 0.894 0.845
O 0.117 0.616 0.851
O 0.135 0.865 0.596
O 0.419 0.079 0.294
O 0.428 0.330 0.038
O 0.469 0.046 0.032
O 0.892 0.152 0.120

***

> Among the records above, which one has the highest density?

CaTlSiO4

***

> Among the records above, which one has the lowest volume?

CaTiSi2O

***

> volume of number 5 (CaTiSi2O6)?

235 Å³ per cell